# 1
Density functional theory data (GGA-PBE) for an optimized crystal structure of K4Th3TiSe8.

Results
- DOS(E_F): 9.694 states/eV/cell
- Calculated density: 5.37 g/cm3
- Total magnetic moment: 0.125 μB per atom
- Raw formation energy: -1.457 eV/atom
- Crystal system: trigonal

Cell lengths 9.198, 9.198, 9.198 Å; angles 54.05, 54.05, 54.05 degrees
Element x y z (fractional)
K 0.000 0.000 0.000
K 0.000 0.500 0.500
K 0.500 0.000 0.500
K 0.500 0.500 0.000
Th 0.000 0.000 0.500
Th 0.000 0.500 0.000
Th 0.500 0.000 0.000
Ti 0.500 0.500 0.500
Se 0.241 0.241 0.241
Se 0.250 0.729 0.729
Se 0.271 0.271 0.750
Se 0.271 0.750 0.271
Se 0.729 0.250 0.729
Se 0.729 0.729 0.250
Se 0.750 0.271 0.271
Se 0.759 0.759 0.759


# 2
Density functional theory data (GGA-PBE) for an optimized crystal structure of K3Th2TlSe6.

Results
- Calculated density: 5.25 g/cm3
- Total magnetic moment: 0.000 μB per atom
- Raw formation energy: -1.457 eV/atom
- Crystal system: monoclinic

Cell lengths 10.147, 10.147, 9.397 Å; angles 103.65, 103.65, 25.11 degrees
Element x y z (fractional)
K 0.000 0.000 0.000
K 0.347 0.347 0.663
K 0.653 0.653 0.337
Th 0.335 0.335 0.169
Th 0.665 0.665 0.831
Tl 0.000 0.000 0.500
Se 0.175 0.175 0.631
Se 0.177 0.177 0.055
Se 0.478 0.478 0.236
Se 0.522 0.522 0.764
Se 0.823 0.823 0.945
Se 0.825 0.825 0.369


# 3
Density functional theory data (GGA-PBE) for an optimized crystal structure of K3TmTh3Se8.

Results
- DOS(E_F): 9.337 states/eV/cell
- Calculated density: 5.50 g/cm3
- Total magnetic moment: 0.000 μB per atom
- Raw formation energy: -1.632 eV/atom
- Crystal system: trigonal

Cell lengths 9.296, 9.296, 9.296 Å; angles 53.91, 53.91, 53.91 degrees
Element x y z (fractional)
K 0.000 0.500 0.500
K 0.500 0.000 0.500
K 0.500 0.500 0.000
Tm 0.500 0.500 0.500
Th 0.000 0.000 0.500
Th 0.000 0.500 0.000
Th 0.500 0.000 0.000
Se 0.240 0.240 0.240
Se 0.243 0.731 0.731
Se 0.269 0.269 0.757
Se 0.269 0.757 0.269
Se 0.731 0.243 0.731
Se 0.731 0.731 0.243
Se 0.757 0.269 0.269
Se 0.760 0.760 0.760